Na2ZnPb8 | GGA-PBE | optimized geometry

Results
size of the total moment	0.0	Bohr magnetons per cell
V	328	Å³/cell
SG	C2/m, No. 12
VASP energy	-3.065	eV/atom

Cell: 5.627 6.916 9.512 Å, 111.07 107.20 90.00°
Element x y z (fractional)
Pb 0.000 0.251 0.000
Pb 0.633 0.874 0.266
Pb 0.000 0.749 0.000
Pb 0.633 0.393 0.266
Pb 0.367 0.607 0.734
Pb 0.367 0.126 0.734
Pb 0.820 0.819 0.640
Pb 0.180 0.181 0.360
Na 0.810 0.310 0.619
Na 0.190 0.690 0.381
Zn 0.500 0.000 0.000